[1]
Material: Zr2BeGe2
Method: DFT, PBE
State: optimized geometry

Properties
- Excess energy over the best structure of this formula in the dataset: 0 meV per atom
- Space-group type: C2/m (12)
- Electronic total energy: -33.406 eV/f.u.
- ΔE_f: -0.670 eV/atom

Structure (POSCAR):
```
Zr2BeGe2
1.0
3.751 0.000 0.712
1.811 5.000 0.696
0.261 -1.246 8.860
Zr Be Ge
4 2 4
Direct
0.664 0.344 0.329 Zr
0.920 0.271 0.889 Zr
0.336 0.656 0.671 Zr
0.080 0.729 0.111 Zr
0.619 0.088 0.674 Be
0.381 0.912 0.326 Be
0.094 0.246 0.567 Ge
0.645 0.825 0.885 Ge
0.906 0.754 0.433 Ge
0.355 0.175 0.115 Ge
```

[2]
Material: DyGa5Co2
Method: DFT, PBE
State: optimized geometry

Properties
- Space-group type: Immm (71)
- Electronic total energy: -37.067 eV/f.u.
- ΔE_f: -0.390 eV/atom

Structure (POSCAR):
```
DyGa5Co2
1.0
-3.188 1.116 -1.906
-4.885 -3.126 2.393
-3.445 3.527 3.880
Dy Ga Co
1 5 2
Direct
0.000 0.000 0.000 Dy
0.000 0.500 0.500 Ga
0.655 0.543 0.148 Ga
0.345 0.457 0.852 Ga
0.345 0.852 0.457 Ga
0.655 0.148 0.543 Ga
0.762 0.738 0.738 Co
0.238 0.262 0.262 Co
```

[3]
Material: BaGaIrAu2
Method: DFT, PBE
State: optimized geometry

Properties
- Space-group type: P4/mmm (123)
- Electronic total energy: -20.622 eV/f.u.
- ΔE_f: -0.051 eV/atom

Structure (POSCAR):
```
BaGaIrAu2
1.0
-4.665 -0.520 1.754
-1.327 -2.154 -4.170
1.219 -4.466 1.919
Ir Au Ba Ga
1 2 1 1
Direct
0.000 0.500 0.000 Ir
0.000 0.000 0.500 Au
0.500 0.000 0.000 Au
0.500 0.500 0.500 Ba
0.000 0.000 0.000 Ga
```

Question: Which of these has the highest electronic total energy?
Answer: BaGaIrAu2

Copy entry 2 word for word.
Material: DyGa5Co2
Method: DFT, PBE
State: optimized geometry

Properties
- Space-group type: Immm (71)
- Electronic total energy: -37.067 eV/f.u.
- ΔE_f: -0.390 eV/atom

Structure (POSCAR):
```
DyGa5Co2
1.0
-3.188 1.116 -1.906
-4.885 -3.126 2.393
-3.445 3.527 3.880
Dy Ga Co
1 5 2
Direct
0.000 0.000 0.000 Dy
0.000 0.500 0.500 Ga
0.655 0.543 0.148 Ga
0.345 0.457 0.852 Ga
0.345 0.852 0.457 Ga
0.655 0.148 0.543 Ga
0.762 0.738 0.738 Co
0.238 0.262 0.262 Co
```